[1]
Computed, not measured: a relaxed structure of BaInHg at the GGA-PBE level of DFT.

## Properties
Total moment = 0.000 μB per cell
Formation energy = -460 meV per atom
DFT total energy = -6.3 eV per cell

a b c (Å): 5.243 5.243 4.250
angles (deg): 90.00 90.00 120.00
Element x y z (fractional)
In1 0.333 0.667 0.500
Hg1 0.667 0.333 0.500
Ba1 0.000 0.000 0.000

=====

[2]
Computed, not measured: a relaxed structure of BaIn6Hg4 at the GGA-PBE level of DFT.

## Properties
Total moment = 0.000 μB per cell
Formation energy = -77 meV per atom
DFT total energy = -20.4 eV per cell

a b c (Å): 7.712 7.712 7.712
angles (deg): 98.28 115.34 115.34
Element x y z (fractional)
Ba1 0.000 0.000 0.000
In1 0.000 0.785 0.514
In2 0.000 0.514 0.785
In3 0.729 0.215 0.215
In4 0.500 0.000 0.500
In5 0.271 0.486 0.486
In6 0.500 0.500 0.000
Hg1 0.000 0.154 0.598
Hg2 0.556 0.402 0.402
Hg3 0.000 0.598 0.154
Hg4 0.444 0.846 0.846

=====

[3]
Computed, not measured: a relaxed structure of BaIn12Hg6 at the GGA-PBE level of DFT.

## Properties
Total moment = 0.000 μB per cell
Formation energy = -29 meV per atom
DFT total energy = -37.1 eV per cell

a b c (Å): 8.714 8.714 8.714
angles (deg): 106.81 106.81 106.81
Element x y z (fractional)
Ba1 0.000 0.000 0.000
In1 0.892 0.108 0.500
In2 0.810 0.577 0.577
In3 0.577 0.577 0.810
In4 0.423 0.190 0.423
In5 0.423 0.423 0.190
In6 0.190 0.423 0.423
In7 0.108 0.500 0.892
In8 0.500 0.892 0.108
In9 0.108 0.892 0.500
In10 0.892 0.500 0.108
In11 0.500 0.108 0.892
In12 0.577 0.810 0.577
Hg1 0.771 0.275 0.275
Hg2 0.275 0.275 0.771
Hg3 0.275 0.771 0.275
Hg4 0.725 0.725 0.229
Hg5 0.229 0.725 0.725
Hg6 0.725 0.229 0.725

=====

[4]
Computed, not measured: a relaxed structure of Ba3In4Hg4 at the GGA-PBE level of DFT.

## Properties
Total moment = 0.000 μB per cell
Formation energy = -415 meV per atom
DFT total energy = -22.5 eV per cell

a b c (Å): 4.386 5.111 16.156
angles (deg): 80.89 82.16 90.02
Element x y z (fractional)
Ba1 0.146 0.646 0.706
Ba2 0.854 0.354 0.294
Ba3 0.000 0.000 0.000
In1 0.592 0.094 0.811
In2 0.254 0.255 0.491
In3 0.746 0.745 0.509
In4 0.408 0.906 0.189
Hg1 0.547 0.549 0.902
Hg2 0.453 0.451 0.098
Hg3 0.312 0.813 0.376
Hg4 0.688 0.187 0.624

=====

[5]
Computed, not measured: a relaxed structure of BaInHg2 at the GGA-PBE level of DFT.

## Properties
Total moment = 0.000 μB per cell
Formation energy = -323 meV per atom
DFT total energy = -6.6 eV per cell

a b c (Å): 3.940 3.940 7.860
angles (deg): 90.00 90.00 89.95
Element x y z (fractional)
Ba1 0.500 0.500 0.750
Hg1 0.000 0.000 0.031
Hg2 0.000 0.000 0.469
In1 0.500 0.500 0.250

=====

[6]
Computed, not measured: a relaxed structure of BaInHg5 at the GGA-PBE level of DFT.

## Properties
Total moment = 0.000 μB per cell
Formation energy = -206 meV per atom
DFT total energy = -7.6 eV per cell

a b c (Å): 5.810 5.810 7.336
angles (deg): 90.02 90.02 114.75
Element x y z (fractional)
Ba1 0.000 0.000 0.000
In1 0.500 0.500 0.500
Hg1 0.500 0.000 0.271
Hg2 0.000 0.500 0.271
Hg3 0.000 0.000 0.500
Hg4 0.000 0.500 0.729
Hg5 0.500 0.000 0.729

=====

[7]
Computed, not measured: a relaxed structure of BaIn6Hg4 at the GGA-PBE level of DFT.

## Properties
Total moment = 0.000 μB per cell
Formation energy = -143 meV per atom
DFT total energy = -21.1 eV per cell

a b c (Å): 4.855 8.648 8.648
angles (deg): 120.00 90.00 90.00
Element x y z (fractional)
Ba1 0.000 0.000 0.000
In1 0.000 0.537 0.074
In2 0.500 0.594 0.797
In3 0.000 0.537 0.463
In4 0.000 0.926 0.463
In5 0.500 0.203 0.797
In6 0.500 0.203 0.406
Hg1 0.500 0.803 0.606
Hg2 0.500 0.394 0.197
Hg3 0.500 0.803 0.197
Hg4 0.000 0.333 0.667

=====

[8]
Computed, not measured: a relaxed structure of Ba6InHg2 at the GGA-PBE level of DFT.

## Properties
Total moment = 0.000 μB per cell
Formation energy = -318 meV per atom
DFT total energy = -35.5 eV per cell

a b c (Å): 10.252 10.252 10.252
angles (deg): 106.86 108.74 112.87
Element x y z (fractional)
Ba1 0.557 0.729 0.828
Ba2 0.443 0.271 0.172
Ba3 0.098 0.271 0.828
Ba4 0.902 0.729 0.172
Ba5 0.813 0.752 0.565
Ba6 0.187 0.248 0.435
Ba7 0.187 0.752 0.939
Ba8 0.813 0.248 0.061
Ba9 0.704 0.366 0.662
Ba10 0.296 0.634 0.338
Ba11 0.296 0.958 0.662
Ba12 0.704 0.042 0.338
In1 0.000 0.500 0.500
In2 0.000 0.000 0.000
Hg1 0.500 0.372 0.872
Hg2 0.500 0.628 0.128
Hg3 0.664 0.000 0.664
Hg4 0.336 0.000 0.336

=====

[9]
Computed, not measured: a relaxed structure of BaIn4Hg6 at the GGA-PBE level of DFT.

## Properties
Total moment = 0.000 μB per cell
Formation energy = -79 meV per atom
DFT total energy = -15.6 eV per cell

a b c (Å): 7.811 7.811 7.811
angles (deg): 91.86 118.93 118.93
Element x y z (fractional)
Ba1 0.000 0.000 0.000
In1 0.000 0.238 0.580
In2 0.658 0.420 0.420
In3 0.000 0.580 0.238
In4 0.342 0.762 0.762
Hg1 0.000 0.881 0.503
Hg2 0.000 0.503 0.881
Hg3 0.622 0.119 0.119
Hg4 0.500 0.000 0.500
Hg5 0.378 0.497 0.497
Hg6 0.500 0.500 0.000

=====

[10]
Computed, not measured: a relaxed structure of BaInHg2 at the GGA-PBE level of DFT.

## Properties
Total moment = 0.000 μB per cell
Formation energy = -382 meV per atom
DFT total energy = -6.8 eV per cell

a b c (Å): 6.677 6.677 6.677
angles (deg): 43.94 43.94 43.94
Element x y z (fractional)
In1 0.250 0.250 0.250
Hg1 0.973 0.973 0.973
Hg2 0.527 0.527 0.527
Ba1 0.750 0.750 0.750

=====

[11]
Computed, not measured: a relaxed structure of Ba3InHg7 at the GGA-PBE level of DFT.

## Properties
Total moment = 0.000 μB per cell
Formation energy = -376 meV per atom
DFT total energy = -29.5 eV per cell

a b c (Å): 4.623 11.889 13.933
angles (deg): 90.00 90.00 101.21
Element x y z (fractional)
Ba1 0.097 0.194 0.456
Ba2 0.903 0.806 0.544
Ba3 0.236 0.472 0.750
Ba4 0.764 0.528 0.250
Ba5 0.097 0.194 0.044
Ba6 0.903 0.806 0.956
In1 0.956 0.912 0.250
In2 0.044 0.088 0.750
Hg1 0.390 0.781 0.750
Hg2 0.610 0.219 0.250
Hg3 0.494 0.988 0.382
Hg4 0.506 0.012 0.618
Hg5 0.506 0.012 0.882
Hg6 0.494 0.988 0.118
Hg7 0.366 0.732 0.353
Hg8 0.634 0.268 0.647
Hg9 0.288 0.576 0.521
Hg10 0.712 0.424 0.479
Hg11 0.712 0.424 0.021
Hg12 0.288 0.576 0.979
Hg13 0.366 0.732 0.147
Hg14 0.634 0.268 0.853

=====

[12]
Computed, not measured: a relaxed structure of BaInHg4 at the GGA-PBE level of DFT.

## Properties
Total moment = 0.000 μB per cell
Formation energy = -244 meV per atom
DFT total energy = -14.7 eV per cell

a b c (Å): 5.615 8.290 8.507
angles (deg): 90.00 109.27 90.00
Element x y z (fractional)
Ba1 0.380 0.750 0.761
Ba2 0.620 0.250 0.239
In1 0.143 0.750 0.285
In2 0.857 0.250 0.715
Hg1 0.225 0.428 0.449
Hg2 0.775 0.572 0.551
Hg3 0.225 0.072 0.449
Hg4 0.775 0.928 0.551
Hg5 0.590 0.750 0.181
Hg6 0.410 0.250 0.819
Hg7 0.000 0.500 0.000
Hg8 0.000 0.000 0.000

=====

[13]
Computed, not measured: a relaxed structure of BaIn8Hg2 at the GGA-PBE level of DFT.

## Properties
Total moment = 0.000 μB per cell
Formation energy = -59 meV per atom
DFT total energy = -25.1 eV per cell

a b c (Å): 5.620 5.620 10.918
angles (deg): 90.00 90.00 90.00
Element x y z (fractional)
Ba1 0.000 0.000 0.000
In1 0.000 0.500 0.500
In2 0.500 0.000 0.500
In3 0.500 0.500 0.346
In4 0.500 0.500 0.654
In5 0.000 0.500 0.212
In6 0.500 0.000 0.212
In7 0.000 0.500 0.788
In8 0.500 0.000 0.788
Hg1 0.000 0.000 0.345
Hg2 0.000 0.000 0.655

=====

[14]
Computed, not measured: a relaxed structure of BaIn2Hg at the GGA-PBE level of DFT.

## Properties
Total moment = 0.000 μB per cell
Formation energy = -252 meV per atom
DFT total energy = -8.7 eV per cell

a b c (Å): 3.985 3.978 7.914
angles (deg): 90.00 90.00 90.00
Element x y z (fractional)
Ba1 0.500 0.500 0.250
Hg1 0.500 0.500 0.750
In1 0.000 0.000 0.942
In2 0.000 0.000 0.558

=====

[15]
Computed, not measured: a relaxed structure of Ba12In5Hg2 at the GGA-PBE level of DFT.

## Properties
Total moment = 0.000 μB per cell
Formation energy = -228 meV per atom
DFT total energy = -41.7 eV per cell

a b c (Å): 8.681 10.530 11.462
angles (deg): 99.08 90.00 114.34
Element x y z (fractional)
Ba1 0.947 0.895 0.174
Ba2 0.069 0.633 0.880
Ba3 0.564 0.633 0.880
Ba4 0.099 0.699 0.428
Ba5 0.600 0.699 0.428
Ba6 0.484 0.968 0.719
Ba7 0.516 0.032 0.281
Ba8 0.901 0.301 0.572
Ba9 0.400 0.301 0.572
Ba10 0.931 0.367 0.120
Ba11 0.436 0.367 0.120
Ba12 0.053 0.105 0.826
In1 0.297 0.594 0.639
In2 0.340 0.680 0.140
In3 0.000 0.000 0.500
In4 0.660 0.320 0.860
In5 0.703 0.406 0.361
Hg1 0.686 0.000 0.000
Hg2 0.314 0.000 0.000

=====

[16]
Computed, not measured: a relaxed structure of BaIn5Hg6 at the GGA-PBE level of DFT.

## Properties
Total moment = 0.000 μB per cell
Formation energy = -141 meV per atom
DFT total energy = -19.1 eV per cell

a b c (Å): 7.080 9.860 8.316
angles (deg): 90.39 107.05 138.34
Element x y z (fractional)
Hg1 0.309 0.100 0.479
Hg2 0.627 0.466 0.875
Hg3 0.838 0.298 0.303
Hg4 0.162 0.702 0.697
Hg5 0.373 0.534 0.125
Hg6 0.691 0.900 0.521
Ba1 0.000 0.000 0.000
In1 0.640 0.177 0.894
In2 0.063 0.352 0.703
In3 0.500 0.500 0.500
In4 0.937 0.648 0.297
In5 0.360 0.823 0.106

=====

[17]
Computed, not measured: a relaxed structure of BaIn3Hg3 at the GGA-PBE level of DFT.

## Properties
Total moment = 0.000 μB per cell
Formation energy = -226 meV per atom
DFT total energy = -25.2 eV per cell

a b c (Å): 8.361 8.361 8.333
angles (deg): 59.89 59.89 60.00
Element x y z (fractional)
Ba1 0.374 0.374 0.877
Ba2 0.626 0.626 0.123
In1 0.682 0.687 0.563
In2 0.687 0.068 0.563
In3 0.068 0.682 0.563
In4 0.932 0.318 0.437
In5 0.313 0.932 0.437
In6 0.318 0.313 0.437
Hg1 0.081 0.674 0.172
Hg2 0.073 0.081 0.172
Hg3 0.674 0.073 0.172
Hg4 0.326 0.927 0.828
Hg5 0.927 0.919 0.828
Hg6 0.919 0.326 0.828

=====

[18]
Computed, not measured: a relaxed structure of BaInHg6 at the GGA-PBE level of DFT.

## Properties
Total moment = 0.000 μB per cell
Formation energy = -223 meV per atom
DFT total energy = -8.3 eV per cell

a b c (Å): 5.231 6.099 7.246
angles (deg): 90.00 90.00 90.00
Element x y z (fractional)
Ba1 0.000 0.654 0.000
In1 0.500 0.363 0.500
Hg1 0.500 0.855 0.275
Hg2 0.000 0.165 0.726
Hg3 0.000 0.165 0.274
Hg4 0.500 0.855 0.725
Hg5 0.000 0.672 0.500
Hg6 0.500 0.272 0.000

=====

[19]
Computed, not measured: a relaxed structure of BaInHg2 at the GGA-PBE level of DFT.

## Properties
Total moment = 0.000 μB per cell
Formation energy = -316 meV per atom
DFT total energy = -6.5 eV per cell

a b c (Å): 6.191 6.191 5.734
angles (deg): 60.14 60.14 43.25
Element x y z (fractional)
Ba1 0.252 0.252 0.248
Hg1 0.024 0.024 0.983
Hg2 0.751 0.751 0.754
In1 0.472 0.472 0.515

=====

[20]
Computed, not measured: a relaxed structure of Ba3In2Hg7 at the GGA-PBE level of DFT.

## Properties
Total moment = 0.000 μB per cell
Formation energy = -313 meV per atom
DFT total energy = -17.1 eV per cell

a b c (Å): 5.094 5.094 16.011
angles (deg): 99.15 99.15 90.00
Element x y z (fractional)
Ba1 0.333 0.333 0.667
Ba2 0.667 0.667 0.333
Ba3 0.500 0.500 0.000
In1 0.127 0.127 0.255
In2 0.873 0.873 0.745
Hg1 0.000 0.000 0.000
Hg2 0.922 0.422 0.844
Hg3 0.422 0.922 0.844
Hg4 0.078 0.578 0.156
Hg5 0.578 0.078 0.156
Hg6 0.223 0.223 0.447
Hg7 0.777 0.777 0.553

=====

[21]
Computed, not measured: a relaxed structure of BaInHg4 at the GGA-PBE level of DFT.

## Properties
Total moment = 0.000 μB per cell
Formation energy = -240 meV per atom
DFT total energy = -29.2 eV per cell

a b c (Å): 4.367 11.400 15.025
angles (deg): 90.00 90.00 90.00
Element x y z (fractional)
Ba1 0.000 0.642 0.362
Ba2 0.000 0.358 0.638
Ba3 0.000 0.142 0.138
Ba4 0.000 0.858 0.862
In1 0.000 0.518 0.103
In2 0.000 0.482 0.897
In3 0.000 0.018 0.397
In4 0.000 0.982 0.603
Hg1 0.500 0.679 0.180
Hg2 0.500 0.321 0.820
Hg3 0.500 0.179 0.320
Hg4 0.500 0.821 0.680
Hg5 0.500 0.895 0.061
Hg6 0.500 0.105 0.939
Hg7 0.500 0.395 0.439
Hg8 0.500 0.605 0.561
Hg9 0.500 0.846 0.471
Hg10 0.500 0.154 0.529
Hg11 0.500 0.346 0.029
Hg12 0.500 0.654 0.971
Hg13 0.500 0.914 0.264
Hg14 0.500 0.086 0.736
Hg15 0.500 0.414 0.236
Hg16 0.500 0.586 0.764